Entry 1:
# RbNi2AuCl8 (GGA-PBE, relaxed)
data_RbNi2AuCl8
_chemical_formula_sum 'Rb1 Ni2 Au1 Cl8'
_space_group_name_H-M_alt 'P 1'
_space_group_IT_number 1
_space_group_name_Hall 'P 1'
_cell_length_a 6.391
_cell_length_b 6.391
_cell_length_c 10.134
_cell_angle_alpha 71.62
_cell_angle_beta 71.62
_cell_angle_gamma 60.00
loop_
_atom_site_label
_atom_site_type_symbol
_atom_site_fract_x
_atom_site_fract_y
_atom_site_fract_z
Ni1 Ni 0.744 0.744 0.767
Ni2 Ni 0.256 0.256 0.233
Au1 Au 0.000 0.000 0.000
Cl1 Cl 0.821 0.821 0.537
Cl2 Cl 0.390 0.728 0.834
Cl3 Cl 0.953 0.610 0.166
Cl4 Cl 0.179 0.179 0.463
Cl5 Cl 0.272 0.953 0.166
Cl6 Cl 0.047 0.390 0.834
Cl7 Cl 0.728 0.047 0.834
Cl8 Cl 0.610 0.272 0.166
Rb1 Rb 0.500 0.500 0.500
# **Electronic total energy**: -3.1576 eV/atom
# **Energy relative to the elements, uncorrected**: -59 kJ per mole of atoms

***

Entry 2:
# Ac4TlPt (GGA-PBE, relaxed)
data_Ac4TlPt
_chemical_formula_sum 'Ac8 Tl2 Pt2'
_space_group_name_H-M_alt 'P 1'
_space_group_IT_number 1
_space_group_name_Hall 'P 1'
_cell_length_a 7.827
_cell_length_b 7.939
_cell_length_c 7.916
_cell_angle_alpha 90.00
_cell_angle_beta 95.98
_cell_angle_gamma 90.00
loop_
_atom_site_label
_atom_site_type_symbol
_atom_site_fract_x
_atom_site_fract_y
_atom_site_fract_z
Ac1 Ac 0.314 0.335 0.358
Ac2 Ac 0.386 0.854 0.170
Ac3 Ac 0.114 0.354 0.830
Ac4 Ac 0.614 0.146 0.830
Ac5 Ac 0.186 0.835 0.642
Ac6 Ac 0.886 0.646 0.170
Ac7 Ac 0.814 0.165 0.358
Ac8 Ac 0.686 0.665 0.642
Tl1 Tl 0.000 0.000 0.000
Tl2 Tl 0.500 0.500 0.000
Pt1 Pt 0.000 0.500 0.500
Pt2 Pt 0.500 0.000 0.500
# **Electronic total energy**: -4.5666 eV/atom
# **Polymorph energy (0 for the lowest one)**: 98 meV per atom
# **E_form**: -426 meV/atom